First-principles (PBE-GGA) data for an optimized crystal structure of Ce2HoSb, as listed in Alexandria via LeMat-Bulk.

For the total moment, the calculation gives 9.90 μB/cell. For the distance to the lowest polymorph of the same formula, the calculation gives 0.3404 eV per atom.

The space group is Fm-3m (No. 225) and the conventional cell measures 7.6884, 7.6884 and 7.6884 Å, with angles of 90.00, 90.00 and 90.00 degrees. The distinct sites, in fractional coordinates, are Ce at (0.2500, 0.2500, 0.2500), Ho at (0.0000, 0.0000, 0.0000) and Sb at (0.0000, 0.0000, 0.5000).



First-principles (PBE-GGA) data for an optimized crystal structure of NdGa2Cu5, as listed in Alexandria via LeMat-Bulk.

For the total moment, the calculation gives 0.00 μB/cell. The energy relative to the elements is -0.20 eV/atom.

The space group is Immm (No. 71) and the conventional cell measures 3.9170, 6.8437 and 9.6381 Å, with angles of 90.00, 90.00 and 90.00 degrees. The distinct sites, in fractional coordinates, are Nd at (0.0000, 0.0000, 0.0000), Ga at (0.0000, 0.5000, 0.2509), Cu at (0.0000, 0.1807, 0.3666) and Cu at (0.0000, 0.5000, 0.0000).



First-principles (PBE-GGA) data for an optimized crystal structure of PrNpC, as listed in Alexandria via LeMat-Bulk.

For the total moment, the calculation gives 0.81 μB/cell. For the distance to the lowest polymorph of the same formula, the calculation gives 0.2877 eV per atom. The energy relative to the elements is 0.50 eV/atom.

The space group is Cmcm (No. 63) and the conventional cell measures 3.8789, 13.9133 and 4.6453 Å, with angles of 90.00, 90.00 and 90.00 degrees. The distinct sites, in fractional coordinates, are Pr at (0.0000, 0.1717, 0.2500), Np at (0.0000, 0.5000, 0.0000) and C at (0.0000, 0.3567, 0.2500).



First-principles (PBE-GGA) data for an optimized crystal structure of SbS2Cl, as listed in Alexandria via LeMat-Bulk.

For the total moment, the calculation gives 0.00 μB/cell. For the distance to the lowest polymorph of the same formula, the calculation gives 0.7140 eV per atom.

The space group is Fm-3m (No. 225) and the conventional cell measures 6.7723, 6.7723 and 6.7723 Å, with angles of 90.00, 90.00 and 90.00 degrees. The distinct sites, in fractional coordinates, are Sb at (0.0000, 0.0000, 0.0000), S at (0.2500, 0.2500, 0.2500) and Cl at (0.0000, 0.0000, 0.5000).



First-principles (PBE-GGA) data for an optimized crystal structure of La2Ga6AgGe, as listed in Alexandria via LeMat-Bulk.

For the total moment, the calculation gives 0.00 μB/cell. The energy relative to the elements is -0.24 eV/atom.

The space group is R-3m (No. 166, hexagonal axes) and the conventional cell measures 6.5716, 6.5716 and 36.4735 Å, with angles of 90.00, 90.00 and 120.00 degrees. The distinct sites, in fractional coordinates, are La at (0.0000, 0.0000, 0.1124), La at (0.0000, 0.0000, 0.2952), Ga at (0.0502, 0.5251, 0.2940), Ga at (0.0769, 0.5385, 0.8716), Ag at (0.0000, 0.0000, 0.0000), Ag at (0.0000, 0.0000, 0.5000) and Ge at (0.0000, 0.0000, 0.4289).



First-principles (PBE-GGA) data for an optimized crystal structure of BePtRh2, as listed in Alexandria via LeMat-Bulk.

For the total moment, the calculation gives 0.00 μB/cell. The energy relative to the elements is -0.24 eV/atom.

The space group is Cm (No. 8) and the conventional cell measures 8.3471, 3.7324 and 7.6224 Å, with angles of 90.00, 117.11 and 90.00 degrees. The distinct sites, in fractional coordinates, are Be at (0.0000, 0.0000, 0.0000), Be at (0.1030, 0.0000, 0.6793), Pt at (0.0459, 0.0000, 0.3347), Pt at (0.2812, 0.5000, 0.6593), Rh at (0.0540, 0.5000, 0.8417), Rh at (0.1983, 0.5000, 0.2142), Rh at (0.3208, 0.0000, 0.0297) and Rh at (0.3994, 0.0000, 0.4657).



First-principles (PBE-GGA) data for an optimized crystal structure of DyNi5P2, as listed in Alexandria via LeMat-Bulk.

For the total moment, the calculation gives 0.00 μB/cell. The energy relative to the elements is -0.73 eV/atom.

The space group is Immm (No. 71) and the conventional cell measures 3.6782, 6.4620 and 8.7706 Å, with angles of 90.00, 90.00 and 90.00 degrees. The distinct sites, in fractional coordinates, are Dy at (0.0000, 0.0000, 0.0000), Ni at (0.0000, 0.1897, 0.3469), Ni at (0.0000, 0.5000, 0.0000) and P at (0.0000, 0.5000, 0.2470).



First-principles (PBE-GGA) data for an optimized crystal structure of BaErInBr6, as listed in Alexandria via LeMat-Bulk.

For the total moment, the calculation gives 0.00 μB/cell. As for the total energy: -3.84 eV/atom.

The space group is P-31c (No. 163) and the conventional cell measures 7.9338, 7.9338 and 13.6442 Å, with angles of 90.00, 90.00 and 120.00 degrees. The distinct sites, in fractional coordinates, are Ba at (0.3333, 0.6667, 0.2500), Er at (0.3333, 0.6667, 0.7500), In at (0.0000, 0.0000, 0.0000) and Br at (0.0432, 0.3817, 0.6315).



First-principles (PBE-GGA) data for an optimized crystal structure of TiSnRh3, as listed in Alexandria via LeMat-Bulk.

For the total moment, the calculation gives 0.00 μB/cell. For the distance to the lowest polymorph of the same formula, the calculation gives 0.0000 eV per atom. The energy relative to the elements is -0.37 eV/atom.

The space group is Pnma (No. 62) and the conventional cell measures 7.0984, 7.2958 and 6.4597 Å, with angles of 90.00, 90.00 and 90.00 degrees. The distinct sites, in fractional coordinates, are Ti at (0.0000, 0.0000, 0.0000), Sn at (0.1581, 0.2500, 0.4140), Rh at (0.0985, 0.7500, 0.2537) and Rh at (0.1553, 0.5510, 0.6442).



First-principles (PBE-GGA) data for an optimized crystal structure of GaAg6, as listed in Alexandria via LeMat-Bulk.

For the total moment, the calculation gives 0.00 μB/cell. For the distance to the lowest polymorph of the same formula, the calculation gives 0.6845 eV per atom. The energy relative to the elements is 0.72 eV/atom.

The space group is Im-3m (No. 229) and the conventional cell measures 7.5100, 7.5100 and 7.5100 Å, with angles of 90.00, 90.00 and 90.00 degrees. The distinct sites, in fractional coordinates, are Ga at (0.0000, 0.0000, 0.0000) and Ag at (0.0000, 0.2500, 0.5000).



First-principles (PBE-GGA) data for an optimized crystal structure of Cs2In2HgBr6, as listed in Alexandria via LeMat-Bulk.

For the total moment, the calculation gives 0.00 μB/cell. As for the total energy: -2.69 eV/atom.

The space group is P-1 (No. 2) and the conventional cell measures 7.5695, 7.9160 and 10.0920 Å, with angles of 68.73, 73.67 and 70.42 degrees. The distinct sites, in fractional coordinates, are Cs at (0.2157, 0.3463, 0.2674), In at (0.1215, 0.9801, 0.8708), Hg at (0.5000, 0.5000, 0.5000), Br at (0.0474, 0.8202, 0.3526), Br at (0.2300, 0.6322, 0.8608) and Br at (0.4370, 0.0741, 0.7958).



First-principles (PBE-GGA) data for an optimized crystal structure of Mg2SbCl, as listed in Alexandria via LeMat-Bulk.

For the total moment, the calculation gives 0.00 μB/cell. For the distance to the lowest polymorph of the same formula, the calculation gives 0.0000 eV per atom.

The space group is P4mm (No. 99) and the conventional cell measures 4.1943, 4.1943 and 5.5563 Å, with angles of 90.00, 90.00 and 90.00 degrees. The distinct sites, in fractional coordinates, are Mg at (0.0000, 0.0000, 0.0000), Mg at (0.5000, 0.5000, 0.4982), Sb at (0.0000, 0.0000, 0.5004) and Cl at (0.5000, 0.5000, 0.0009).



> What is the total moment in the sixth record?

0.00 μB/cell